1.
MgScSb3 | PBE | optimized geometry

```
MgScSb3
1.0
5.461 0.000 0.000
0.000 5.461 0.000
0.000 0.000 5.461
Mg Sc Sb
1 1 3
direct
0.000 0.000 0.000
0.500 0.500 0.500
0.000 0.500 0.500
0.500 0.000 0.500
0.500 0.500 0.000
```

The raw formation energy is 0.146 eV/atom. The calculation puts the total magnetic moment at 0.00 μB/cell.

2.
Pa2CoSn8 | PBE | optimized geometry

```
Pa2CoSn8
1.0
4.599 0.000 0.000
0.000 4.599 0.000
0.000 0.000 12.357
Pa Co Sn
2 1 8
direct
0.000 0.000 0.187
0.000 0.000 0.813
0.000 0.000 0.500
0.000 0.500 0.000
0.000 0.500 0.379
0.000 0.500 0.621
0.500 0.000 0.000
0.500 0.000 0.379
0.500 0.000 0.621
0.500 0.500 0.189
0.500 0.500 0.811
```

The calculation puts the total magnetic moment at 0.00 μB/cell.

3.
YTaCu2 | PBE | optimized geometry

```
YTaCu2
1.0
4.207 -1.653 0.000
4.207 1.653 0.000
-1.446 0.000 5.616
Y Ta Cu
1 1 2
direct
0.000 0.000 0.000
0.500 0.500 0.500
0.238 0.238 0.662
0.762 0.762 0.338
```

The calculation puts the total magnetic moment at 0.00 μB/cell.

4.
Ba2IrI | PBE | optimized geometry

```
Ba2IrI
1.0
2.327 1.343 8.391
-2.327 1.343 8.391
0.000 -2.687 8.391
Ba Ir I
2 1 1
direct
0.232 0.232 0.232
0.768 0.768 0.768
0.500 0.500 0.500
0.000 0.000 0.000
```

The raw formation energy is -0.719 eV/atom. The calculation puts the total magnetic moment at 0.04 μB/cell.

Uncorrected energy, record by record: -3.9127; -5.4745; -6.3994; -4.2830 eV per atom